Computed, not measured: an optimized crystal structure of InTcAs2 at the PBE level of DFT.

Values from the calculation:
**Mass density**: 8.1 g cm⁻³
**DFT formation energy**: 0.145 eV per atom
**Total energy**: -5.456 eV/atom

CIF file:
```
data_InTcAs2
_chemical_formula_sum 'In1 Tc1 As2'
_cell_length_a 3.141
_cell_length_b 3.141
_cell_length_c 7.518
_cell_angle_alpha 90.00
_cell_angle_beta 90.00
_cell_angle_gamma 90.00
_symmetry_space_group_name_H-M 'P 4 m m'
_symmetry_Int_Tables_number 99
loop_
_symmetry_equiv_pos_as_xyz
'x,y,z'
'-y,x,z'
'-x,-y,z'
'y,-x,z'
'-x,y,z'
'y,x,z'
'x,-y,z'
'-y,-x,z'
loop_
_atom_site_label
_atom_site_type_symbol
_atom_site_fract_x
_atom_site_fract_y
_atom_site_fract_z
_atom_site_occupancy
In1 In 0.000 0.000 0.000 1
Tc1 Tc 0.500 0.500 0.258 1
As1 As 0.000 0.000 0.422 1
As2 As 0.500 0.500 0.688 1
```